Record 1
The following is a PBE-GGA calculation of crystalline Mn3BeAu at its relaxed geometry, from Alexandria.

Properties
- Formation enthalpy at 0 K: 1.37 eV/atom
- Distance to the lowest polymorph of the same formula: 868.1 meV per atom
- SG: Pm-3m (221)
- DOS at the Fermi energy: 8.5 states/eV/cell

The structure in POSCAR format:
```
Mn3BeAu
1.0
-3.5993 2.5524 -2.1297
-2.2818 -4.1797 -1.1529
-2.4174 0.1449 4.2592
Au Be Mn
1 1 3
Direct
0.0000 0.0000 0.0000
0.5000 0.5000 0.5000
0.0000 0.0000 0.5000
0.5000 0.0000 0.0000
0.0000 0.5000 0.0000
```


Record 2
The following is a PBE-GGA calculation of crystalline MnCdRu at its relaxed geometry, from Alexandria.

Properties
- Formation enthalpy at 0 K: 0.19 eV/atom
- Distance to the lowest polymorph of the same formula: 0.0 meV per atom
- SG: I4mm (107)
- DOS at the Fermi energy: 2.1 states/eV/cell

The structure in POSCAR format:
```
MnCdRu
1.0
5.5598 -0.3489 0.0000
4.1377 3.7300 0.0000
-4.8488 -1.6905 2.1599
Cd Mn Ru
1 1 1
Direct
0.9992 0.9992 0.0000
0.3117 0.3117 0.0000
0.6892 0.6892 0.0000
```


> What is the formation enthalpy at 0 K in the second record?

0.19 eV/atom


> What is the DOS at the Fermi energy in the second record?

2.1 states/eV/cell